# 1
Material: Sc4Pb3W2C3
Method: DFT, PBE-GGA
State: optimized geometry

The structure in POSCAR format:
```
Sc4Pb3W2C3
1.0
4.980 -2.892 0.000
4.980 2.892 0.000
-3.214 0.000 14.406
Sc Pb W C
8 6 4 6
direct
0.039 0.182 0.084
0.127 0.306 0.416
0.182 0.039 0.584
0.306 0.127 0.916
0.694 0.873 0.084
0.818 0.961 0.416
0.873 0.694 0.584
0.961 0.818 0.916
0.102 0.898 0.250
0.265 0.417 0.752
0.417 0.265 0.252
0.583 0.735 0.748
0.735 0.583 0.248
0.898 0.102 0.750
0.341 0.522 0.070
0.478 0.659 0.430
0.522 0.341 0.570
0.659 0.478 0.930
0.000 0.500 0.000
0.189 0.656 0.500
0.344 0.811 0.000
0.500 0.000 0.500
0.656 0.189 0.000
0.811 0.344 0.500
```

- crystal system = monoclinic
- E_tot (eV/cell) = -189.37
- space group = C2/c, No. 15

=====

# 2
Material: LaBeAlNi
Method: DFT, PBE-GGA
State: optimized geometry

The structure in POSCAR format:
```
LaBeAlNi
1.0
0.000 3.292 3.292
3.292 0.000 3.292
3.292 3.292 0.000
La Be Al Ni
1 1 1 1
direct
0.000 0.000 0.000
0.500 0.500 0.500
0.250 0.250 0.250
0.750 0.750 0.750
```

- energy above the most stable polymorph in this dataset (kcal/mol of atoms) = 0.24
- crystal system = cubic
- E_tot (eV/cell) = -17.63
- space group = F-43m, No. 216

=====

# 3
Material: NaDy3Se4
Method: DFT, PBE-GGA
State: optimized geometry

The structure in POSCAR format:
```
NaDy3Se4
1.0
4.126 -5.785 0.000
4.126 5.785 0.000
0.000 0.000 4.066
Na Dy Se
1 3 4
direct
0.000 0.000 0.000
0.000 0.500 0.500
0.500 0.000 0.500
0.500 0.500 0.000
0.250 0.750 0.000
0.254 0.254 0.500
0.746 0.746 0.500
0.750 0.250 0.000
```

- crystal system = orthorhombic
- E_tot (eV/cell) = -42.91
- space group = Cmmm, No. 65

=====

# 4
Material: SmOsBr
Method: DFT, PBE-GGA
State: optimized geometry

The structure in POSCAR format:
```
SmOsBr
1.0
3.603 -2.124 0.000
3.603 2.124 0.000
-0.441 0.000 11.449
Sm Os Br
2 2 2
direct
0.012 0.012 0.180
0.988 0.988 0.820
0.330 0.330 0.012
0.670 0.670 0.988
0.318 0.318 0.658
0.682 0.682 0.342
```

- crystal system = monoclinic
- E_tot (eV/cell) = -41.03
- space group = C2/m, No. 12

=====

# 5
Material: NdAlIn2
Method: DFT, PBE-GGA
State: optimized geometry

The structure in POSCAR format:
```
NdAlIn2
1.0
4.952 0.000 0.000
0.000 3.378 5.831
0.000 -3.378 5.831
Nd Al In
2 2 4
direct
0.000 0.000 0.000
0.500 0.330 0.330
0.500 0.375 0.804
0.500 0.804 0.375
0.000 0.502 0.974
0.000 0.509 0.509
0.000 0.974 0.502
0.500 0.817 0.817
```

- crystal system = orthorhombic
- E_tot (eV/cell) = -31.03
- space group = Amm2, No. 38

=====

# 6
Material: Y4CoN3
Method: DFT, PBE-GGA
State: optimized geometry

The structure in POSCAR format:
```
Y4CoN3
1.0
3.455 0.000 0.000
-1.727 2.992 0.000
0.000 0.000 24.739
Y Co N
8 2 6
direct
0.000 0.000 0.170
0.000 0.000 0.330
0.000 0.000 0.670
0.000 0.000 0.830
0.333 0.667 0.056
0.333 0.667 0.444
0.667 0.333 0.556
0.667 0.333 0.944
0.333 0.667 0.250
0.667 0.333 0.750
0.000 0.000 0.000
0.000 0.000 0.500
0.333 0.667 0.617
0.333 0.667 0.883
0.667 0.333 0.117
0.667 0.333 0.383
```

- crystal system = hexagonal
- E_tot (eV/cell) = -134.46
- space group = P6_3/mmc, No. 194